Entry 1:
Below is a relaxed Hg2Te crystal, with properties calculated at the GGA-PBE level.

Results
E_form (uncorrected) = 0.048 eV/atom
Excess energy over the best structure of this formula in the dataset = 0.077 eV per atom
N(E_F) = 0.5 states/eV/f.u.
ρ = 8873 kg/m3

Unit cell a=4.9500 b=4.9500 c=9.3267 alpha=90.00 beta=90.00 gamma=120.00
Space group P6_3/mmc (No. 194)
Inequivalent atoms, fractional coordinates:
Hg  0.0000  0.0000  0.0000 x2
Hg  0.3333  0.6667  0.2500 x2
Te  0.3333  0.6667  0.7500 x2

---

Entry 2:
Below is a relaxed PaNiB2Rh5 crystal, with properties calculated at the GGA-PBE level.

Results
Formation energy from the elements = -343 meV/atom
N(E_F) = 10.8 states/eV/f.u.
ρ = 9836 kg/m3

Unit cell a=4.167 b=4.167 c=8.029 alpha=90.00 beta=90.00 gamma=90.00
Space group P4/mmm (No. 123)
Inequivalent atoms, fractional coordinates:
Pa  0.000  0.000  0.000 x1
Ni  0.500  0.500  0.500 x1
B  0.500  0.500  0.265 x2
Rh  0.000  0.500  0.252 x4
Rh  0.500  0.500  0.000 x1

---

Entry 3:
Below is a relaxed KCaRe2Br crystal, with properties calculated at the GGA-PBE level.

Results
E_form (uncorrected) = 2.767 eV/atom
N(E_F) = 6.9 states/eV/f.u.
ρ = 6385 kg/m3

Unit cell a=4.574 b=4.574 c=6.606 alpha=90.00 beta=90.00 gamma=90.00
Space group P4/mmm (No. 123)
Inequivalent atoms, fractional coordinates:
K  0.000  0.000  0.000 x1
Ca  0.000  0.000  0.500 x1
Re  0.000  0.500  0.000 x2
Br  0.500  0.500  0.500 x1

---

Entry 4:
Below is a relaxed Li2HgS crystal, with properties calculated at the GGA-PBE level.

Results
E_form (uncorrected) = -0.722 eV/atom
Excess energy over the best structure of this formula in the dataset = 0.140 eV per atom
N(E_F) = 0.0 states/eV/f.u.
ρ = 3545 kg/m3

Unit cell a=6.043 b=6.043 c=12.651 alpha=90.00 beta=90.00 gamma=90.00
Space group I-42d (No. 122)
Inequivalent atoms, fractional coordinates:
Li  0.094  0.250  0.125 x8
Hg  0.000  0.000  0.500 x4
S  0.000  0.000  0.000 x4

---

Entry 5:
Below is a relaxed Ba2P2PbN6 crystal, with properties calculated at the GGA-PBE level.

Results
E_form (uncorrected) = -0.303 eV/atom
N(E_F) = 3.0 states/eV/f.u.
ρ = 5737 kg/m3

Unit cell a=5.8299 b=5.8299 c=18.5208 alpha=90.00 beta=90.00 gamma=120.00
Space group R-3m (No. 166, hexagonal axes)
Inequivalent atoms, fractional coordinates:
Ba  0.0000  0.0000  0.2125 x6
P  0.0000  0.0000  0.4127 x6
Pb  0.0000  0.0000  0.0000 x3
N  0.0184  0.5092  0.2498 x18

---

Entry 6:
Below is a relaxed Pr2SbTe2 crystal, with properties calculated at the GGA-PBE level.

Results
E_form (uncorrected) = -0.927 eV/atom
N(E_F) = 2.2 states/eV/f.u.
ρ = 6272 kg/m3

Unit cell a=7.737 b=5.925 c=7.809 alpha=90.00 beta=102.98 gamma=90.00
Space group C2/m (No. 12)
Inequivalent atoms, fractional coordinates:
Pr  0.189  0.000  0.215 x4
Sb  0.000  0.500  0.000 x2
Te  0.000  0.248  0.500 x4

---

Entry 7:
Below is a relaxed TlTePdI2 crystal, with properties calculated at the GGA-PBE level.

Results
E_form (uncorrected) = 0.661 eV/atom
Excess energy over the best structure of this formula in the dataset = 0.808 eV per atom
N(E_F) = 10.3 states/eV/f.u.
ρ = 5353 kg/m3

Unit cell a=6.072 b=6.072 c=5.825 alpha=90.00 beta=90.00 gamma=90.00
Space group P4/mmm (No. 123)
Inequivalent atoms, fractional coordinates:
Tl  0.000  0.000  0.000 x1
Te  0.000  0.000  0.500 x1
Pd  0.500  0.500  0.500 x1
I  0.000  0.500  0.000 x2

---

Entry 8:
Below is a relaxed B7C3 crystal, with properties calculated at the GGA-PBE level.

Results
Excess energy over the best structure of this formula in the dataset = 0.039 eV per atom
Formation energy from the elements = 331 meV/atom
N(E_F) = 0.1 states/eV/f.u.
ρ = 2434 kg/m3

Unit cell a=9.166 b=2.773 c=6.957 alpha=90.00 beta=120.47 gamma=90.00
Space group Cm (No. 8)
Inequivalent atoms, fractional coordinates:
B  0.000  0.000  0.000 x2
B  0.019  0.500  0.343 x2
B  0.115  0.000  0.728 x2
B  0.149  0.000  0.518 x2
B  0.218  0.500  0.658 x2
B  0.245  0.500  0.248 x2
B  0.367  0.000  0.591 x2
C  0.040  0.500  0.124 x2
C  0.342  0.000  0.333 x2
C  0.455  0.500  0.745 x2

---

Entry 9:
Below is a relaxed Ba2Ti2C crystal, with properties calculated at the GGA-PBE level.

Results
Excess energy over the best structure of this formula in the dataset = 1.389 eV per atom
Formation energy from the elements = 2117 meV/atom
N(E_F) = 3.1 states/eV/f.u.
ρ = 4607 kg/m3

Unit cell a=4.274 b=4.274 c=15.093 alpha=90.00 beta=90.00 gamma=90.00
Space group I4/mmm (No. 139)
Inequivalent atoms, fractional coordinates:
Ba  0.000  0.500  0.250 x4
Ti  0.000  0.000  0.064 x4
C  0.000  0.000  0.500 x2

---

Entry 10:
Below is a relaxed BiSe2Br crystal, with properties calculated at the GGA-PBE level.

Results
E_form (uncorrected) = 0.438 eV/atom
Excess energy over the best structure of this formula in the dataset = 0.629 eV per atom
N(E_F) = 3.5 states/eV/f.u.
ρ = 7106 kg/m3

Unit cell a=3.4001 b=3.4001 c=31.2872 alpha=90.00 beta=90.00 gamma=120.00
Space group R-3m (No. 166, hexagonal axes)
Inequivalent atoms, fractional coordinates:
Bi  0.0000  0.0000  0.0000 x3
Se  0.0000  0.0000  0.0915 x6
Br  0.0000  0.0000  0.5000 x3

---

Entry 11:
Below is a relaxed SiNi3As crystal, with properties calculated at the GGA-PBE level.

Results
E_form (uncorrected) = 0.327 eV/atom
Excess energy over the best structure of this formula in the dataset = 0.000 eV per atom
N(E_F) = 2.0 states/eV/f.u.
ρ = 6135 kg/m3

Unit cell a=4.227 b=4.227 c=4.227 alpha=90.00 beta=90.00 gamma=90.00
Space group Pm-3m (No. 221)
Inequivalent atoms, fractional coordinates:
Si  0.000  0.000  0.000 x1
Ni  0.000  0.000  0.500 x3
As  0.500  0.500  0.500 x1

---

Entry 12:
Below is a relaxed Pr4Ga2Rh crystal, with properties calculated at the GGA-PBE level.

Results
Formation energy from the elements = -412 meV/atom
N(E_F) = 8.1 states/eV/f.u.
ρ = 6859 kg/m3

Unit cell a=7.423 b=10.284 c=5.112 alpha=90.00 beta=90.00 gamma=90.00
Space group Cmmm (No. 65)
Inequivalent atoms, fractional coordinates:
Pr  0.242  0.000  0.000 x4
Pr  0.250  0.250  0.500 x4
Ga  0.000  0.259  0.000 x4
Rh  0.000  0.000  0.500 x2

---

Entry 13:
Below is a relaxed Ac3Nd6Er2 crystal, with properties calculated at the GGA-PBE level.

Results
Formation energy from the elements = 44 meV/atom
N(E_F) = 15.5 states/eV/f.u.
ρ = 7700 kg/m3

Unit cell a=3.7493 b=3.7493 c=99.9600 alpha=90.00 beta=90.00 gamma=120.00
Space group R-3m (No. 166, hexagonal axes)
Inequivalent atoms, fractional coordinates:
Ac  0.0000  0.0000  0.0000 x3
Ac  0.0000  0.0000  0.2708 x6
Nd  0.0000  0.0000  0.0941 x6
Nd  0.0000  0.0000  0.1817 x6
Nd  0.0000  0.0000  0.3646 x6
Er  0.0000  0.0000  0.4561 x6

---

Entry 14:
Below is a relaxed LaPu2Ir2 crystal, with properties calculated at the GGA-PBE level.

Results
Formation energy from the elements = -407 meV/atom
N(E_F) = 13.6 states/eV/f.u.
ρ = 13072 kg/m3

Unit cell a=6.145 b=6.940 c=7.370 alpha=79.39 beta=65.69 gamma=63.79
Space group P-1 (No. 2)
Inequivalent atoms, fractional coordinates:
La  0.175  0.152  0.249 x2
Pu  0.143  0.214  0.749 x2
Pu  0.476  0.547  0.250 x2
Ir  0.283  0.828  0.966 x2
Ir  0.388  0.828  0.534 x2

---

Entry 15:
Below is a relaxed PaZnNiHg crystal, with properties calculated at the GGA-PBE level.

Results
Formation energy from the elements = -50 meV/atom
N(E_F) = 2.8 states/eV/f.u.
ρ = 12377 kg/m3

Unit cell a=6.681 b=6.681 c=6.681 alpha=90.00 beta=90.00 gamma=90.00
Space group F-43m (No. 216)
Inequivalent atoms, fractional coordinates:
Pa  0.000  0.000  0.000 x4
Zn  0.250  0.250  0.250 x4
Ni  0.250  0.250  0.750 x4
Hg  0.000  0.000  0.500 x4

---

Entry 16:
Below is a relaxed Na3Bi3Au crystal, with properties calculated at the GGA-PBE level.

Results
Excess energy over the best structure of this formula in the dataset = 0.072 eV per atom
Formation energy from the elements = -193 meV/atom
N(E_F) = 2.3 states/eV/f.u.
ρ = 6644 kg/m3

Unit cell a=8.466 b=14.273 c=7.704 alpha=90.00 beta=106.49 gamma=90.00
Space group C2/m (No. 12)
Inequivalent atoms, fractional coordinates:
Na  0.000  0.111  0.000 x4
Na  0.000  0.214  0.500 x4
Na  0.064  0.500  0.799 x4
Bi  0.151  0.000  0.417 x4
Bi  0.177  0.311  0.138 x8
Au  0.208  0.000  0.816 x4

---

Entry 17:
Below is a relaxed PuSbTe2O crystal, with properties calculated at the GGA-PBE level.

Results
E_form (uncorrected) = -1.230 eV/atom
N(E_F) = 7.4 states/eV/f.u.
ρ = 7740 kg/m3

Unit cell a=4.177 b=4.177 c=15.662 alpha=90.00 beta=90.00 gamma=90.00
Space group P4/nmm (No. 129, origin choice 2)
Inequivalent atoms, fractional coordinates:
Pu  0.250  0.250  0.069 x2
Sb  0.250  0.250  0.639 x2
Te  0.250  0.250  0.402 x2
Te  0.250  0.250  0.821 x2
O  0.250  0.750  0.000 x2

---

Entry 18:
Below is a relaxed Li2InPb9 crystal, with properties calculated at the GGA-PBE level.

Results
Formation energy from the elements = -73 meV/atom
N(E_F) = 5.3 states/eV/f.u.
ρ = 9469 kg/m3

Unit cell a=4.859 b=4.859 c=14.806 alpha=90.00 beta=90.00 gamma=90.00
Space group P4/mmm (No. 123)
Inequivalent atoms, fractional coordinates:
Li  0.000  0.000  0.163 x2
In  0.000  0.000  0.500 x1
Pb  0.000  0.500  0.000 x2
Pb  0.000  0.500  0.326 x4
Pb  0.500  0.500  0.163 x2
Pb  0.500  0.500  0.500 x1

---

Entry 19:
Below is a relaxed VFe3Rh12 crystal, with properties calculated at the GGA-PBE level.

Results
Formation energy from the elements = -139 meV/atom
N(E_F) = 15.7 states/eV/f.u.
ρ = 10926 kg/m3

Unit cell a=3.809 b=3.809 c=15.221 alpha=90.00 beta=90.00 gamma=90.00
Space group P4/mmm (No. 123)
Inequivalent atoms, fractional coordinates:
V  0.000  0.000  0.000 x1
Fe  0.000  0.000  0.251 x2
Fe  0.000  0.000  0.500 x1
Rh  0.000  0.500  0.123 x4
Rh  0.000  0.500  0.375 x4
Rh  0.500  0.500  0.000 x1
Rh  0.500  0.500  0.249 x2
Rh  0.500  0.500  0.500 x1

---

Entry 20:
Below is a relaxed Eu2AgRu crystal, with properties calculated at the GGA-PBE level.

Results
Formation energy from the elements = -34 meV/atom
N(E_F) = 6.4 states/eV/f.u.
ρ = 8860 kg/m3

Unit cell a=3.500 b=3.500 c=7.848 alpha=90.00 beta=90.00 gamma=90.00
Space group P4/mmm (No. 123)
Inequivalent atoms, fractional coordinates:
Eu  0.000  0.000  0.221 x2
Ag  0.500  0.500  0.500 x1
Ru  0.500  0.500  0.000 x1